Entry from the Alexandria database: a geometry-optimized LaRe2Ir structure (PBE-GGA).

V, Å³/f.u.: 74.88
Fermi-level density of states, states/eV/atom: 1.19
Distance to the lowest polymorph of the same formula, eV per atom: 0.485
Magnetization, μB/atom: 0.00
Formation enthalpy at 0 K, kcal/mol of atoms: 14.115

a b c (Å): 4.886 3.915 3.915
angles (deg): 90.00 90.00 90.00
Fractional positions:
Re 0.000 0.500 0.500
Re 0.000 0.000 0.000
La 0.500 0.000 0.500
Ir 0.500 0.500 0.000

Entry from the Alexandria database: a geometry-optimized LaRe2Ir structure (PBE-GGA).

V, Å³/f.u.: 77.30
Fermi-level density of states, states/eV/atom: 1.22
Distance to the lowest polymorph of the same formula, eV per atom: 0.397
Magnetization, μB/atom: 0.00
Formation enthalpy at 0 K, kcal/mol of atoms: 12.084

a b c (Å): 3.244 3.244 7.347
angles (deg): 90.00 90.00 90.00
Fractional positions:
Ir 0.500 0.500 0.250
Re 0.000 0.000 0.431
Re 0.000 0.000 0.069
La 0.500 0.500 0.750

Entry from the Alexandria database: a geometry-optimized LaReIr2 structure (PBE-GGA).

V, Å³/f.u.: 72.14
Fermi-level density of states, states/eV/atom: 1.14
Distance to the lowest polymorph of the same formula, eV per atom: 0.601
Magnetization, μB/atom: 0.00
Formation enthalpy at 0 K, kcal/mol of atoms: 11.579

a b c (Å): 4.673 4.673 4.673
angles (deg): 60.00 60.00 60.00
Fractional positions:
Re 0.250 0.250 0.250
La 0.500 0.500 0.500
Ir 0.750 0.750 0.750
Ir 0.000 0.000 0.000

Entry from the Alexandria database: a geometry-optimized LaVReIr2 structure (PBE-GGA).

V, Å³/f.u.: 103.08
Fermi-level density of states, states/eV/atom: 2.08
Magnetization, μB/atom: 0.00
Formation enthalpy at 0 K, kcal/mol of atoms: 58.183

a b c (Å): 4.778 4.515 4.778
angles (deg): 90.00 90.00 90.00
Fractional positions:
V 0.000 0.500 0.000
La 0.000 0.000 0.000
Ir 0.000 0.000 0.500
Ir 0.500 0.000 0.000
Re 0.500 0.500 0.500

Entry from the Alexandria database: a geometry-optimized LaV2ReIr structure (PBE-GGA).

V, Å³/f.u.: 96.92
Fermi-level density of states, states/eV/atom: 2.11
Magnetization, μB/atom: 0.23
Formation enthalpy at 0 K, kcal/mol of atoms: 52.733

a b c (Å): 4.510 4.765 4.510
angles (deg): 90.00 90.00 90.00
Fractional positions:
V 0.000 0.000 0.500
V 0.500 0.000 0.000
La 0.000 0.000 0.000
Ir 0.000 0.500 0.000
Re 0.500 0.500 0.500

Entry from the Alexandria database: a geometry-optimized LaIr2Rh structure (PBE-GGA).

V, Å³/f.u.: 73.24
Fermi-level density of states, states/eV/atom: 1.59
Distance to the lowest polymorph of the same formula, eV per atom: 0.189
Magnetization, μB/atom: 0.00
Formation enthalpy at 0 K, kcal/mol of atoms: -0.774

a b c (Å): 2.861 3.957 6.468
angles (deg): 90.00 90.00 90.00
Fractional positions:
Ir 0.000 0.000 0.300
Ir 0.000 0.000 0.700
Rh 0.500 0.500 0.500
La 0.500 0.500 0.000

Entry from the Alexandria database: a geometry-optimized La2IrRh structure (PBE-GGA).

V, Å³/f.u.: 94.92
Fermi-level density of states, states/eV/atom: 0.20
Magnetization, μB/atom: 0.00
Formation enthalpy at 0 K, kcal/mol of atoms: -10.395

a b c (Å): 7.645 7.645 6.307
angles (deg): 52.69 52.69 90.00
Fractional positions:
Rh 0.250 0.750 0.500
Rh 0.500 0.500 0.000
La 0.875 0.873 0.750
La 0.375 0.377 0.750
La 0.127 0.625 0.250
La 0.623 0.125 0.250
Ir 0.000 0.000 0.000
Ir 0.750 0.250 0.500

Entry from the Alexandria database: a geometry-optimized La5Ir2Rh structure (PBE-GGA).

V, Å³/f.u.: 270.79
Fermi-level density of states, states/eV/atom: 0.72
Magnetization, μB/atom: 0.00
Formation enthalpy at 0 K, kcal/mol of atoms: -13.783

a b c (Å): 5.754 7.258 14.123
angles (deg): 90.00 90.00 113.33
Fractional positions:
Ir 0.851 0.702 0.439
Ir 0.149 0.298 0.939
Ir 0.149 0.298 0.561
Ir 0.851 0.702 0.061
La 0.053 0.105 0.118
La 0.330 0.660 0.066
La 0.670 0.340 0.566
La 0.252 0.504 0.750
La 0.947 0.895 0.882
La 0.053 0.105 0.382
La 0.670 0.340 0.934
La 0.748 0.496 0.250
La 0.330 0.660 0.434
La 0.947 0.895 0.618
Rh 0.210 0.421 0.250
Rh 0.790 0.579 0.750

Entry from the Alexandria database: a geometry-optimized LaIr2Rh structure (PBE-GGA).

V, Å³/f.u.: 72.97
Fermi-level density of states, states/eV/atom: 1.18
Distance to the lowest polymorph of the same formula, eV per atom: 0.144
Magnetization, μB/atom: 0.00
Formation enthalpy at 0 K, kcal/mol of atoms: -1.794

a b c (Å): 2.893 3.919 6.435
angles (deg): 90.00 90.00 90.00
Fractional positions:
Ir 0.000 0.000 0.019
Ir 0.500 0.500 0.191
La 0.000 0.000 0.505
Rh 0.500 0.500 0.786

Entry from the Alexandria database: a geometry-optimized La6Ir2Rh structure (PBE-GGA).

V, Å³/f.u.: 300.82
Fermi-level density of states, states/eV/atom: 0.79
Magnetization, μB/atom: 0.00
Formation enthalpy at 0 K, kcal/mol of atoms: -13.498

a b c (Å): 9.247 9.247 7.205
angles (deg): 81.52 81.52 85.52
Fractional positions:
Rh 0.902 0.098 0.750
Rh 0.098 0.902 0.250
La 0.801 0.939 0.127
La 0.939 0.801 0.627
La 0.458 0.297 0.125
La 0.297 0.458 0.625
La 0.199 0.061 0.873
La 0.372 0.886 0.381
La 0.628 0.114 0.619
La 0.061 0.199 0.373
La 0.886 0.372 0.881
La 0.542 0.703 0.875
La 0.114 0.628 0.119
La 0.703 0.542 0.375
Ir 0.350 0.180 0.495
Ir 0.650 0.820 0.505
Ir 0.180 0.350 0.995
Ir 0.820 0.650 0.005

Entry from the Alexandria database: a geometry-optimized La2IrRh3 structure (PBE-GGA).

V, Å³/f.u.: 114.66
Fermi-level density of states, states/eV/atom: 0.64
Magnetization, μB/atom: 0.00
Formation enthalpy at 0 K, kcal/mol of atoms: -16.329

a b c (Å): 5.455 5.455 5.454
angles (deg): 89.91 120.08 120.02
Fractional positions:
La 0.749 0.375 0.124
La 0.251 0.625 0.876
Rh 0.500 0.000 0.500
Rh 0.000 0.000 0.500
Rh 0.500 0.500 0.500
Ir 0.000 0.000 0.000

Entry from the Alexandria database: a geometry-optimized La2IrRh structure (PBE-GGA).

V, Å³/f.u.: 88.96
Fermi-level density of states, states/eV/atom: 0.93
Magnetization, μB/atom: 0.00
Formation enthalpy at 0 K, kcal/mol of atoms: 7.889

a b c (Å): 6.141 6.141 6.141
angles (deg): 60.51 150.31 128.57
Fractional positions:
Rh 0.000 0.000 0.000
La 0.000 0.247 0.247
La 0.000 0.753 0.753
Ir 0.000 0.500 0.500

Entry from the Alexandria database: a geometry-optimized LaIrRh3 structure (PBE-GGA).

V, Å³/f.u.: 109.95
Fermi-level density of states, states/eV/atom: 1.53
Distance to the lowest polymorph of the same formula, eV per atom: 1.251
Magnetization, μB/atom: 0.43
Formation enthalpy at 0 K, kcal/mol of atoms: 37.273

a b c (Å): 4.791 4.791 4.791
angles (deg): 90.00 90.00 90.00
Fractional positions:
Rh 0.500 0.000 0.000
Rh 0.000 0.000 0.500
Rh 0.000 0.500 0.000
Ir 0.500 0.500 0.500
La 0.000 0.000 0.000

Entry from the Alexandria database: a geometry-optimized La6IrRh structure (PBE-GGA).

V, Å³/f.u.: 283.05
Fermi-level density of states, states/eV/atom: 1.26
Magnetization, μB/atom: 0.00
Formation enthalpy at 0 K, kcal/mol of atoms: -9.504

a b c (Å): 6.965 6.965 13.476
angles (deg): 90.00 90.00 120.00
Fractional positions:
Ir 0.667 0.333 0.750
Ir 0.333 0.667 0.250
Rh 0.000 0.000 0.500
Rh 0.000 0.000 0.000
La 0.002 0.336 0.625
La 0.664 0.665 0.625
La 0.665 0.664 0.125
La 0.664 0.998 0.875
La 0.336 0.002 0.125
La 0.335 0.998 0.625
La 0.998 0.664 0.375
La 0.665 0.002 0.375
La 0.002 0.665 0.875
La 0.336 0.335 0.375
La 0.335 0.336 0.875
La 0.998 0.335 0.125

Entry from the Alexandria database: a geometry-optimized LaIr2Rh3 structure (PBE-GGA).

V, Å³/f.u.: 99.74
Fermi-level density of states, states/eV/atom: 1.24
Distance to the lowest polymorph of the same formula, eV per atom: 0.086
Magnetization, μB/atom: 0.00
Formation enthalpy at 0 K, kcal/mol of atoms: -3.789

a b c (Å): 5.664 5.664 7.890
angles (deg): 68.97 68.97 60.00
Fractional positions:
La 0.784 0.784 0.648
La 0.216 0.216 0.352
Ir 0.500 0.000 0.000
Ir 0.000 0.000 0.000
Ir 0.000 0.500 0.000
Ir 0.500 0.500 0.000
Rh 0.727 0.727 0.307
Rh 0.760 0.273 0.693
Rh 0.727 0.240 0.307
Rh 0.240 0.727 0.307
Rh 0.273 0.760 0.693
Rh 0.273 0.273 0.693

Entry from the Alexandria database: a geometry-optimized LaIr2Rh structure (PBE-GGA).

V, Å³/f.u.: 73.89
Fermi-level density of states, states/eV/atom: 1.21
Distance to the lowest polymorph of the same formula, eV per atom: 0.390
Magnetization, μB/atom: 0.44
Formation enthalpy at 0 K, kcal/mol of atoms: 3.870

a b c (Å): 4.710 4.710 4.710
angles (deg): 60.00 60.00 60.00
Fractional positions:
Rh 0.000 0.000 0.000
Ir 0.750 0.750 0.750
Ir 0.250 0.250 0.250
La 0.500 0.500 0.500

Entry from the Alexandria database: a geometry-optimized La3IrRh structure (PBE-GGA).

V, Å³/f.u.: 151.06
Fermi-level density of states, states/eV/atom: 0.72
Distance to the lowest polymorph of the same formula, eV per atom: 0.000
Magnetization, μB/atom: 0.00
Formation enthalpy at 0 K, kcal/mol of atoms: -15.485

a b c (Å): 4.303 10.770 7.767
angles (deg): 61.18 73.92 78.48
Fractional positions:
Ir 0.837 0.317 0.009
Ir 0.163 0.683 0.991
La 0.967 0.801 0.265
La 0.357 0.509 0.778
La 0.304 0.132 0.259
La 0.033 0.199 0.735
La 0.643 0.491 0.222
La 0.696 0.868 0.741
Rh 0.662 0.184 0.492
Rh 0.338 0.816 0.508

Entry from the Alexandria database: a geometry-optimized LaIr2Rh structure (PBE-GGA).

V, Å³/f.u.: 71.09
Fermi-level density of states, states/eV/atom: 0.97
Distance to the lowest polymorph of the same formula, eV per atom: 0.185
Magnetization, μB/atom: 0.00
Formation enthalpy at 0 K, kcal/mol of atoms: -0.847

a b c (Å): 5.712 5.712 2.946
angles (deg): 76.36 76.36 122.10
Fractional positions:
Ir 0.000 0.500 0.000
Ir 0.500 0.000 0.000
La 0.000 0.000 0.500
Rh 0.500 0.500 0.500

Entry from the Alexandria database: a geometry-optimized LaIr2Rh structure (PBE-GGA).

V, Å³/f.u.: 70.96
Fermi-level density of states, states/eV/atom: 1.10
Distance to the lowest polymorph of the same formula, eV per atom: 0.136
Magnetization, μB/atom: 0.01
Formation enthalpy at 0 K, kcal/mol of atoms: -1.982

a b c (Å): 4.981 4.981 3.020
angles (deg): 90.00 90.00 108.72
Fractional positions:
Rh 0.500 0.500 0.500
La 0.000 0.000 0.500
Ir 0.500 0.000 0.000
Ir 0.000 0.500 0.000

Entry from the Alexandria database: a geometry-optimized La2IrRh structure (PBE-GGA).

V, Å³/f.u.: 92.66
Fermi-level density of states, states/eV/atom: 0.72
Magnetization, μB/atom: 0.00
Formation enthalpy at 0 K, kcal/mol of atoms: -11.428

a b c (Å): 6.156 6.156 6.156
angles (deg): 140.78 140.70 56.73
Fractional positions:
La 0.000 0.000 0.000
La 0.250 0.750 0.500
Rh 0.501 0.501 0.000
Ir 0.749 0.249 0.500